12
Lattice="-4.2327 1.7598 1.2854 0.5222 -1.2574 4.5522 2.6344 5.4292 1.1809" Properties=species:S:1:pos:R:3 comment="CeCr2CoO8 (GGA+U, relaxed)" dft_energy_ev_per_atom=-7.14 spacegroup=P-1 dos_at_fermi_per_ev_cell=4.3 pbc="T T T"
Ce 1.3172 2.7146 0.5905
Cr 0.1748 4.3971 3.7917
Cr -1.2508 1.5345 3.2267
Co 0.0000 0.0000 0.0000
O 0.1474 0.5602 4.0773
O 0.1051 5.7454 5.1608
O -2.6427 2.3240 2.1897
O -1.2234 5.3714 2.9411
O -1.1811 0.1862 1.8576
O 1.5667 3.6076 4.8287
O -1.2000 2.9958 4.5133
O 0.1240 2.9358 2.5051